No. 1
{"formula": "Ca2Zn6CuPd", "functional": "PBE", "state": "relaxed", "cell": [[0.0000, 4.7449, 4.7449], [4.7449, 0.0000, 4.7449], [4.7449, 4.7449, 0.0000]], "species": ["Ca", "Ca", "Zn", "Zn", "Zn", "Zn", "Zn", "Zn", "Cu", "Pd"], "fractional_positions": [[0.2500, 0.2500, 0.2500], [0.7500, 0.7500, 0.7500], [0.2442, 0.2442, 0.7558], [0.2442, 0.7558, 0.2442], [0.2442, 0.7558, 0.7558], [0.7558, 0.2442, 0.2442], [0.7558, 0.2442, 0.7558], [0.7558, 0.7558, 0.2442], [0.0000, 0.0000, 0.0000], [0.5000, 0.5000, 0.5000]], "magnetic_moment_mub_per_fu": 0.00, "formation_energy_ev_per_atom": -0.1345, "rho_g_cm3": 4.99, "dos_ef_per_ev_fu": 5.0}

---

No. 2
{"formula": "ZnC3F", "functional": "PBE", "state": "relaxed", "cell": [[3.9870, 0.0000, 0.0000], [0.0000, 3.9870, 0.0000], [0.0000, 0.0000, 3.9870]], "species": ["Zn", "C", "C", "C", "F"], "fractional_positions": [[0.0000, 0.0000, 0.0000], [0.0000, 0.0000, 0.5000], [0.0000, 0.5000, 0.0000], [0.5000, 0.0000, 0.0000], [0.5000, 0.5000, 0.5000]], "raw_formation_energy_ev_per_atom": 2.987, "magnetic_moment_mub_per_fu": 1.22, "rho_g_cm3": 3.16, "dos_ef_per_ev_fu": 3.4, "relative_energy_ev_per_atom": 0.000}

---

No. 3
{"formula": "PrDyTm3", "functional": "PBE", "state": "relaxed", "cell": [[6.2603, 0.0000, 0.0000], [0.0000, 5.6313, 0.0000], [-3.1191, 0.0000, 9.0377]], "species": ["Pr", "Pr", "Dy", "Dy", "Tm", "Tm", "Tm", "Tm", "Tm", "Tm"], "fractional_positions": [[0.0676, 0.2500, 0.3002], [0.9324, 0.7500, 0.6998], [0.4653, 0.2500, 0.0993], [0.5347, 0.7500, 0.9007], [0.1353, 0.7500, 0.0986], [0.2685, 0.2500, 0.7015], [0.3370, 0.7500, 0.5006], [0.6630, 0.2500, 0.4994], [0.7315, 0.7500, 0.2985], [0.8647, 0.2500, 0.9014]], "magnetic_moment_mub_per_fu": 0.00, "formation_energy_ev_per_atom": 0.0107, "rho_g_cm3": 8.45, "dos_ef_per_ev_fu": 7.8, "relative_energy_ev_per_atom": 0.000}

---

No. 4
{"formula": "NiN2Cl", "functional": "PBE", "state": "relaxed", "cell": [[0.0000, 2.7132, 2.7132], [2.7132, 0.0000, 2.7132], [2.7132, 2.7132, 0.0000]], "species": ["Ni", "N", "N", "Cl"], "fractional_positions": [[0.0000, 0.0000, 0.0000], [0.2500, 0.2500, 0.2500], [0.7500, 0.7500, 0.7500], [0.5000, 0.5000, 0.5000]], "raw_formation_energy_ev_per_atom": 2.408, "magnetic_moment_mub_per_fu": 0.00, "rho_g_cm3": 5.08, "dos_ef_per_ev_fu": 3.8, "relative_energy_ev_per_atom": 1.498}